# TlNiMoW | the Open Quantum Materials Database | PBE | optimized geometry
# DFT total energy in eV per formula unit: -29.16
# Spin magnetization in μB per atom: 0.01
data_TlNiMoW
_chemical_formula_sum 'Tl4 Ni4 Mo4 W4'
_cell_length_a 6.3895
_cell_length_b 6.3895
_cell_length_c 6.3895
_cell_angle_alpha 90.00
_cell_angle_beta 90.00
_cell_angle_gamma 90.00
_symmetry_space_group_name_H-M 'F -4 3 m'
_symmetry_Int_Tables_number 216
_symmetry_space_group_name_Hall 'F -4 2 3'
loop_
_atom_site_label
_atom_site_fract_x
_atom_site_fract_y
_atom_site_fract_z
Tl1 0.0000 0.0000 0.0000
Ni1 0.2500 0.2500 0.2500
Mo1 0.2500 0.2500 0.7500
W1 0.0000 0.0000 0.5000